No. 1
This record from the Alexandria database describes PmDySnSe after structural relaxation. The functional is PBE.

Properties
Total magnetization   0.000 μB per atom
Formation energy from raw total energies   -1249.1 meV per atom
Uncorrected energy   -21.836 eV for the cell shown

Lattice parameters (Å, degrees): 4.3245 4.3246 6.0623 90.00 90.00 90.00
With the nearest neighbours (Å) after each atom.
Fractional positions:
Dy 0.5000 0.3915 0.0926  2 Sn 3.03, 4 Se 3.06
Pm 0.0000 0.8915 0.5923  2 Se 3.03, 4 Sn 3.06
Sn 0.5000 0.3916 0.5925  2 Dy 3.03, 4 Pm 3.06
Se 0.0000 0.8915 0.0924  2 Pm 3.03, 4 Dy 3.06

=====

No. 2
This record from the Alexandria database describes Sr3Pm2DySe6 after structural relaxation. The functional is PBE.

Properties
Total magnetization   0.000 μB per atom
Formation energy from raw total energies   -1905.7 meV per atom
Uncorrected energy   -62.925 eV for the cell shown

Lattice parameters (Å, degrees): 7.3594 7.3594 7.5232 99.41 99.41 119.94
With the nearest neighbours (Å) after each atom.
Fractional positions:
Sr 0.1686 0.8314 0.5000  6 Se 3.07-3.11
Sr 0.5000 0.5000 0.5000  6 Se 3.07-3.13
Sr 0.8314 0.1686 0.5000  6 Se 3.07-3.11
Se 0.7526 0.7526 0.2370  1 Dy 2.94, 2 Pm 2.99, 3 Sr 3.08-3.13
Se 0.4051 0.0782 0.2354  1 Dy 2.93, 2 Pm 2.99-3.00, 3 Sr 3.07-3.11
Se 0.9218 0.5949 0.7646  1 Dy 2.93, 2 Pm 2.99-3.00, 3 Sr 3.07-3.11
Se 0.2474 0.2474 0.7630  1 Dy 2.94, 2 Pm 2.99, 3 Sr 3.08-3.13
Se 0.5949 0.9218 0.7646  1 Dy 2.93, 2 Pm 2.99-3.00, 3 Sr 3.07-3.11
Se 0.0782 0.4051 0.2354  1 Dy 2.93, 2 Pm 2.99-3.00, 3 Sr 3.07-3.11
Dy 0.0000 0.0000 0.0000  6 Se 2.93-2.94
Pm 0.3341 0.6659 0.0000  6 Se 2.99-3.00
Pm 0.6659 0.3341 0.0000  6 Se 2.99-3.00

=====

No. 3
This record from the Alexandria database describes SrPm4DySe8 after structural relaxation. The functional is PBE.

Properties
Total magnetization   0.000 μB per atom
Formation energy from raw total energies   -1804.1 meV per atom
Uncorrected energy   -78.420 eV for the cell shown

Lattice parameters (Å, degrees): 8.7080 8.7080 8.6588 59.81 59.81 60.00
With the nearest neighbours (Å) after each atom.
Fractional positions:
Se 0.2336 0.2336 0.7446  1 Dy 2.85, 2 Pm 2.92, 1 Sr 2.93
Se 0.7622 0.7622 0.2516  3 Pm 2.84-3.01, 1 Dy 2.95
Se 0.7882 0.2336 0.7446  1 Dy 2.85, 2 Pm 2.92, 1 Sr 2.93
Se 0.2241 0.7622 0.2516  3 Pm 2.84-3.01, 1 Dy 2.95
Se 0.7573 0.7573 0.7280  4 Pm 2.82-3.01
Se 0.2383 0.2383 0.2852  3 Pm 2.91, 1 Sr 2.91
Se 0.2336 0.7882 0.7446  1 Dy 2.85, 2 Pm 2.92, 1 Sr 2.93
Se 0.7622 0.2241 0.2516  3 Pm 2.84-3.01, 1 Dy 2.95
Pm 0.6242 0.6242 0.1274  4 Se 2.82-2.84
Pm 0.0019 0.0019 0.5016  6 Se 2.91-3.01
Pm 0.4946 0.0019 0.5016  6 Se 2.91-3.01
Pm 0.0019 0.4946 0.5016  6 Se 2.91-3.01
Dy 0.0020 0.0020 0.9942  6 Se 2.85-2.95
Sr 0.3761 0.3761 0.8718  4 Se 2.91-2.93

=====

No. 4
This record from the Alexandria database describes SrPm2Dy3Se6 after structural relaxation. The functional is PBE.

Properties
Total magnetization   0.000 μB per atom
Formation energy from raw total energies   -1821.6 meV per atom
Uncorrected energy   -67.756 eV for the cell shown

Lattice parameters (Å, degrees): 4.1376 8.4156 9.3442 103.63 102.79 90.00
With the nearest neighbours (Å) after each atom.
Fractional positions:
Se 0.3293 0.9230 0.6586  3 Dy 2.87-2.95, 1 Sr 3.02, 2 Pm 3.05
Se 0.3383 0.4108 0.6767  3 Dy 2.86, 3 Pm 2.95-2.96
Se 0.0007 0.7386 0.0013  3 Dy 2.88-2.95, 2 Sr 3.02, 1 Pm 3.06
Se 0.6707 0.0770 0.3414  3 Dy 2.87-2.95, 1 Sr 3.02, 2 Pm 3.05
Se 0.9993 0.2614 0.9987  3 Dy 2.88-2.95, 2 Sr 3.02, 1 Pm 3.06
Se 0.6617 0.5892 0.3233  3 Dy 2.86, 3 Pm 2.95-2.96
Pm 0.1721 0.3445 0.3442  6 Se 2.95-3.06
Pm 0.8279 0.6555 0.6558  6 Se 2.95-3.06
Sr 0.5000 0.0000 0.0000  6 Se 3.02
Dy 0.1672 0.8258 0.3345  6 Se 2.86-2.95
Dy 0.5000 0.5000 0.0000  6 Se 2.86-2.88
Dy 0.8328 0.1742 0.6655  6 Se 2.86-2.95

=====

No. 5
This record from the Alexandria database describes Sr3PmDy2Se6 after structural relaxation. The functional is PBE.

Properties
Total magnetization   0.000 μB per atom
Formation energy from raw total energies   -1893.1 meV per atom
Uncorrected energy   -62.624 eV for the cell shown

Lattice parameters (Å, degrees): 7.3204 7.3204 7.4868 99.41 99.41 119.94
With the nearest neighbours (Å) after each atom.
Fractional positions:
Dy 0.6674 0.3326 0.0000  6 Se 2.92-2.93
Dy 0.3326 0.6674 0.0000  6 Se 2.92-2.93
Se 0.9221 0.5821 0.7665  2 Dy 2.92-2.93, 1 Pm 2.99, 3 Sr 3.06-3.11
Se 0.4179 0.0779 0.2335  2 Dy 2.92-2.93, 1 Pm 2.99, 3 Sr 3.06-3.11
Se 0.0779 0.4179 0.2335  2 Dy 2.92-2.93, 1 Pm 2.99, 3 Sr 3.06-3.11
Se 0.5821 0.9221 0.7665  2 Dy 2.92-2.93, 1 Pm 2.99, 3 Sr 3.06-3.11
Se 0.2630 0.2630 0.7681  2 Dy 2.93, 1 Pm 2.99, 3 Sr 3.05-3.09
Se 0.7370 0.7370 0.2319  2 Dy 2.93, 1 Pm 2.99, 3 Sr 3.05-3.09
Pm 0.0000 0.0000 0.0000  6 Se 2.99
Sr 0.1645 0.8355 0.5000  6 Se 3.06-3.11
Sr 0.5000 0.5000 0.5000  6 Se 3.05-3.10
Sr 0.8355 0.1645 0.5000  6 Se 3.06-3.11

=====

No. 6
This record from the Alexandria database describes SrPmDy2Se4 after structural relaxation. The functional is PBE.

Properties
Total magnetization   0.000 μB per atom
Formation energy from raw total energies   -1825.8 meV per atom
Uncorrected energy   -44.181 eV for the cell shown

Lattice parameters (Å, degrees): 4.1542 7.2634 7.2569 70.98 90.00 90.00
With the nearest neighbours (Å) after each atom.
Fractional positions:
Dy 0.5000 0.0000 0.5000  6 Se 2.89
Dy 0.0000 0.0000 0.0000  6 Se 2.91-2.92
Sr 0.5000 0.5000 0.0000  6 Se 3.02-3.03
Se 0.5000 0.2369 0.7519  3 Dy 2.89-2.92, 2 Pm 3.01, 1 Sr 3.02
Se 0.5000 0.7631 0.2481  3 Dy 2.89-2.92, 2 Pm 3.01, 1 Sr 3.02
Se 0.0000 0.7661 0.7416  3 Dy 2.89-2.91, 1 Pm 3.00, 2 Sr 3.03
Se 0.0000 0.2339 0.2584  3 Dy 2.89-2.91, 1 Pm 3.00, 2 Sr 3.03
Pm 0.0000 0.5000 0.5000  6 Se 3.00-3.01

=====

No. 7
This record from the Alexandria database describes SrPmDy4Se8 after structural relaxation. The functional is PBE.

Properties
Total magnetization   0.000 μB per atom
Formation energy from raw total energies   -1794.0 meV per atom
Uncorrected energy   -77.833 eV for the cell shown

Lattice parameters (Å, degrees): 8.5365 8.5365 8.5962 60.23 60.23 60.00
With the nearest neighbours (Å) after each atom.
Fractional positions:
Se 0.2298 0.7534 0.2634  3 Dy 2.76-2.95, 1 Pm 3.02
Se 0.7577 0.7577 0.7268  4 Dy 2.80-2.96
Se 0.7534 0.7534 0.2634  3 Dy 2.76-2.95, 1 Pm 3.02
Se 0.2359 0.2359 0.2924  3 Dy 2.84, 1 Sr 2.91
Se 0.2411 0.7886 0.7291  2 Dy 2.83, 1 Sr 2.90, 1 Pm 2.91
Se 0.7534 0.2298 0.2634  3 Dy 2.76-2.95, 1 Pm 3.02
Se 0.2411 0.2411 0.7291  2 Dy 2.83, 1 Sr 2.90, 1 Pm 2.91
Se 0.7886 0.2411 0.7291  2 Dy 2.83, 1 Sr 2.90, 1 Pm 2.91
Pm 0.0020 0.0020 0.9941  6 Se 2.91-3.02
Dy 0.0017 0.4947 0.5020  6 Se 2.83-2.96
Dy 0.6254 0.6254 0.1237  4 Se 2.76-2.80
Dy 0.0017 0.0017 0.5020  6 Se 2.83-2.96
Dy 0.4947 0.0017 0.5020  6 Se 2.83-2.96
Sr 0.3735 0.3735 0.8796  4 Se 2.90-2.91

=====

No. 8
This record from the Alexandria database describes Tb2PmDySe6 after structural relaxation. The functional is PBE.

Properties
Total magnetization   0.000 μB per atom
Formation energy from raw total energies   -1851.5 meV per atom
Uncorrected energy   -58.036 eV for the cell shown

Lattice parameters (Å, degrees): 7.2824 7.2823 7.7570 62.00 62.00 59.99
With the nearest neighbours (Å) after each atom.
Fractional positions:
Se 0.9173 0.6104 0.2491  1 Dy 2.86, 2 Tb 2.86-2.92, 1 Pm 3.00
Se 0.7212 0.1219 0.7510  2 Tb 2.85-2.92, 1 Pm 2.91, 1 Dy 2.91
Se 0.1220 0.4059 0.7510  2 Tb 2.85-2.92, 1 Pm 2.91, 1 Dy 2.91
Se 0.4059 0.7212 0.7510  2 Tb 2.85-2.92, 1 Pm 2.91, 1 Dy 2.91
Se 0.6103 0.2234 0.2491  1 Dy 2.86, 2 Tb 2.86-2.92, 1 Pm 3.00
Se 0.2233 0.9172 0.2491  1 Dy 2.86, 2 Tb 2.86-2.92, 1 Pm 3.00
Tb 0.0133 0.0134 0.9600  6 Se 2.85-2.92
Tb 0.5156 0.5155 0.4534  6 Se 2.86-2.92
Dy 0.3180 0.3180 0.0460  6 Se 2.86-2.91
Pm 0.8147 0.8148 0.5557  6 Se 2.91-3.00

=====

No. 9
This record from the Alexandria database describes TbPm4DySe8 after structural relaxation. The functional is PBE.

Properties
Total magnetization   0.000 μB per atom
Formation energy from raw total energies   -1727.6 meV per atom
Uncorrected energy   -80.298 eV for the cell shown

Lattice parameters (Å, degrees): 8.5819 8.5819 8.5676 59.94 59.94 60.00
With the nearest neighbours (Å) after each atom.
Fractional positions:
Se 0.2237 0.7621 0.2520  3 Pm 2.81-2.96, 1 Tb 2.90
Se 0.2410 0.2410 0.7512  1 Dy 2.74, 1 Tb 2.91, 2 Pm 2.98
Se 0.7621 0.7621 0.2520  3 Pm 2.81-2.96, 1 Tb 2.90
Se 0.7573 0.7573 0.7282  4 Pm 2.79-2.96
Se 0.2459 0.2459 0.2623  1 Dy 2.72, 3 Pm 2.97
Se 0.7668 0.2410 0.7512  1 Dy 2.74, 1 Tb 2.91, 2 Pm 2.98
Se 0.7621 0.2237 0.2520  3 Pm 2.81-2.96, 1 Tb 2.90
Se 0.2410 0.7668 0.7512  1 Dy 2.74, 1 Tb 2.91, 2 Pm 2.98
Pm 0.0010 0.0010 0.5007  6 Se 2.96-2.98
Pm 0.6243 0.6243 0.1272  4 Se 2.79-2.81
Pm 0.4973 0.0010 0.5007  6 Se 2.96-2.98
Pm 0.0010 0.4973 0.5007  6 Se 2.96-2.98
Tb 0.0008 0.0008 0.9975  6 Se 2.90-2.91
Dy 0.3756 0.3756 0.8731  4 Se 2.72-2.74

=====

No. 10
This record from the Alexandria database describes Tb2Pm3DySe6 after structural relaxation. The functional is PBE.

Properties
Total magnetization   0.000 μB per atom
Formation energy from raw total energies   -1802.6 meV per atom
Uncorrected energy   -70.653 eV for the cell shown

Lattice parameters (Å, degrees): 4.1169 8.3485 9.2803 103.77 102.82 90.00
With the nearest neighbours (Å) after each atom.
Fractional positions:
Pm 0.5000 0.5000 0.0000  6 Se 2.96-2.98
Pm 0.1671 0.8332 0.3343  6 Se 2.97
Pm 0.8329 0.1668 0.6657  6 Se 2.97
Se 0.9981 0.7568 0.9962  2 Dy 2.89, 1 Tb 2.90, 3 Pm 2.97-2.98
Se 0.6686 0.5779 0.3372  3 Tb 2.89, 3 Pm 2.96-2.97
Se 0.6639 0.0882 0.3278  1 Dy 2.88, 2 Tb 2.90, 3 Pm 2.97
Se 0.3361 0.9118 0.6722  1 Dy 2.88, 2 Tb 2.90, 3 Pm 2.97
Se 0.3314 0.4221 0.6628  3 Tb 2.89, 3 Pm 2.96-2.97
Se 0.0019 0.2432 0.0038  2 Dy 2.89, 1 Tb 2.90, 3 Pm 2.97-2.98
Tb 0.1669 0.3337 0.3338  6 Se 2.89-2.90
Tb 0.8331 0.6663 0.6662  6 Se 2.89-2.90
Dy 0.5000 0.0000 0.0000  6 Se 2.88-2.89